Density functional theory data (PBE) for a relaxed structure of ZnRe2Br.

The value obtained for the uncorrected formation energy is 1.26 eV per atom. The energy above the most stable polymorph in this dataset is 994 meV/atom.

It has space group P4/mmm (No. 123), with a = 4.4520 Å, b = 4.4520 Å, c = 3.0682 Å, α = 90.00°, β = 90.00° and γ = 90.00°. The distinct sites, in fractional coordinates, are Zn at (0.0000, 0.0000, 0.0000), Re at (0.0000, 0.5000, 0.5000) and Br at (0.5000, 0.5000, 0.0000).

***

Density functional theory data (PBE) for a relaxed structure of CaNd6S8.

The value obtained for the uncorrected formation energy is -2.06 eV per atom.

It has space group Fm-3m (No. 225), with a = 11.4789 Å, b = 11.4789 Å, c = 11.4789 Å, α = 90.00°, β = 90.00° and γ = 90.00°. The distinct sites, in fractional coordinates, are Ca at (0.0000, 0.0000, 0.0000), Nd at (0.0000, 0.2500, 0.2500), S at (0.0000, 0.0000, 0.2460) and S at (0.2500, 0.2500, 0.2500).

***

Density functional theory data (PBE) for a relaxed structure of Ca2ZnCu3P4.

The energy of formation comes out at -0.542 eV per atom.

It has space group P-4m2 (No. 115), with a = 4.0971 Å, b = 4.0971 Å, c = 9.8684 Å, α = 90.00°, β = 90.00° and γ = 90.00°. The distinct sites, in fractional coordinates, are Ca at (0.0000, 0.5000, 0.2395), Zn at (0.0000, 0.0000, 0.5000), Cu at (0.0000, 0.5000, 0.8758), Cu at (0.5000, 0.5000, 0.5000), P at (0.0000, 0.0000, 0.0000), P at (0.0000, 0.5000, 0.6417) and P at (0.5000, 0.5000, 0.0000).

***

Density functional theory data (PBE) for a relaxed structure of Rb2PuCl4.

The value obtained for the uncorrected formation energy is -1.77 eV per atom.

It has space group P2_1/m (No. 11), with a = 8.2065 Å, b = 8.0693 Å, c = 9.2416 Å, α = 90.00°, β = 107.93° and γ = 90.00°. The distinct sites, in fractional coordinates, are Rb at (0.1731, 0.2500, 0.0465), Rb at (0.2322, 0.2500, 0.5503), Pu at (0.2853, 0.7500, 0.8162), Cl at (0.0398, 0.5097, 0.7520), Cl at (0.4894, 0.7500, 0.6389) and Cl at (0.4972, 0.7500, 0.1029).

***

Density functional theory data (PBE) for a relaxed structure of ZnGaSn.

The energy of formation comes out at 0.085 eV per atom.

It has space group P3m1 (No. 156), with a = 4.2708 Å, b = 4.2708 Å, c = 8.5461 Å, α = 90.00°, β = 90.00° and γ = 120.00°. The distinct sites, in fractional coordinates, are Zn at (0.0000, 0.0000, 0.0000), Zn at (0.0000, 0.0000, 0.2945), Ga at (0.3333, 0.6667, 0.1412), Ga at (0.6667, 0.3333, 0.8786), Sn at (0.0000, 0.0000, 0.6703) and Sn at (0.6667, 0.3333, 0.4543).

***

Density functional theory data (PBE) for a relaxed structure of NaTmSnBi.

The energy of formation comes out at -0.305 eV per atom.

It has space group F-43m (No. 216), with a = 7.6388 Å, b = 7.6388 Å, c = 7.6388 Å, α = 90.00°, β = 90.00° and γ = 90.00°. The distinct sites, in fractional coordinates, are Na at (0.0000, 0.0000, 0.0000), Tm at (0.0000, 0.0000, 0.5000), Sn at (0.2500, 0.2500, 0.2500) and Bi at (0.2500, 0.2500, 0.7500).

***

Density functional theory data (PBE) for a relaxed structure of Na12InHg3.

The energy of formation comes out at -0.117 eV per atom.

It has space group P4/mmm (No. 123), with a = 4.8577 Å, b = 4.8577 Å, c = 19.8457 Å, α = 90.00°, β = 90.00° and γ = 90.00°. The distinct sites, in fractional coordinates, are Na at (0.0000, 0.0000, 0.0000), Na at (0.0000, 0.0000, 0.2466), Na at (0.0000, 0.0000, 0.5000), Na at (0.0000, 0.5000, 0.1229), Na at (0.0000, 0.5000, 0.3715), In at (0.5000, 0.5000, 0.5000), Hg at (0.5000, 0.5000, 0.0000) and Hg at (0.5000, 0.5000, 0.2491).

***

Density functional theory data (PBE) for a relaxed structure of BaLaAl2.

The energy above the most stable polymorph in this dataset is 79 meV/atom. The energy of formation comes out at -0.108 eV per atom.

It has space group Cmmm (No. 65), with a = 7.9984 Å, b = 8.0100 Å, c = 3.8577 Å, α = 90.00°, β = 90.00° and γ = 90.00°. The distinct sites, in fractional coordinates, are Ba at (0.0000, 0.0000, 0.0000), La at (0.0000, 0.5000, 0.0000) and Al at (0.2500, 0.2500, 0.5000).

***

Density functional theory data (PBE) for a relaxed structure of Tb4SiTe2Se.

The value obtained for the uncorrected formation energy is -1.39 eV per atom.

It has space group P2/m (No. 10), with a = 7.2937 Å, b = 4.2165 Å, c = 7.5138 Å, α = 90.00°, β = 108.99° and γ = 90.00°. The distinct sites, in fractional coordinates, are Tb at (0.2311, 0.0000, 0.2182), Tb at (0.2497, 0.5000, 0.7808), Si at (0.0000, 0.5000, 0.0000), Te at (0.0000, 0.0000, 0.5000), Te at (0.5000, 0.5000, 0.5000) and Se at (0.5000, 0.0000, 0.0000).

***

Density functional theory data (PBE) for a relaxed structure of CeScMo.

The energy above the most stable polymorph in this dataset is 40 meV/atom. The energy of formation comes out at 0.201 eV per atom.

It has space group I4mm (No. 107), with a = 3.4430 Å, b = 3.4430 Å, c = 11.2156 Å, α = 90.00°, β = 90.00° and γ = 90.00°. The distinct sites, in fractional coordinates, are Ce at (0.0000, 0.0000, 0.0000), Sc at (0.0000, 0.0000, 0.7155) and Mo at (0.0000, 0.0000, 0.3609).

***

Density functional theory data (PBE) for a relaxed structure of PPtSe4.

The value obtained for the uncorrected formation energy is -0.18 eV per atom.

It has space group C2/m (No. 12), with a = 14.0901 Å, b = 3.6002 Å, c = 6.1821 Å, α = 90.00°, β = 114.04° and γ = 90.00°. The distinct sites, in fractional coordinates, are P at (0.0000, 0.0000, 0.0000), Pt at (0.0000, 0.5000, 0.5000), Se at (0.1106, 0.0000, 0.7709) and Se at (0.1125, 0.5000, 0.2701).

***

Density functional theory data (PBE) for a relaxed structure of HfTaFeTc2.

The energy of formation comes out at 1.627 eV per atom.

It has space group P4/mmm (No. 123), with a = 4.7009 Å, b = 4.7009 Å, c = 4.3452 Å, α = 90.00°, β = 90.00° and γ = 90.00°. The distinct sites, in fractional coordinates, are Hf at (0.0000, 0.0000, 0.0000), Ta at (0.5000, 0.5000, 0.5000), Fe at (0.0000, 0.0000, 0.5000) and Tc at (0.0000, 0.5000, 0.0000).

***

no.,total magnetic moment (μB per atom),final energy (eV per atom)
1,0.000,-5.698
2,0.000,-6.305
3,0.000,-4.462
4,0.857,-5.153
5,0.000,-2.683
6,0.000,-3.724
7,0.000,-1.334
8,0.000,-3.691
9,0.000,-5.603
10,0.000,-7.498
11,0.000,-4.416
12,0.425,-8.574